Entry 1:
Material: SrPuRhO6
Method: DFT, PBE
State: optimized geometry

Calculated values
- Spin magnetization: 0.96 μB/f.u.
- Space-group type: No. 163
- Formation energy without anion corrections: -203.9 kJ/mol of atoms

Cell: 5.276 5.276 11.267 Å, 90.00 90.00 120.00°
Fractional coordinates of all 18 atoms:
Sr 0.000 0.000 0.000
Sr 0.000 0.000 0.500
Pu 0.333 0.667 0.250
Pu 0.667 0.333 0.750
Rh 0.333 0.667 0.750
Rh 0.667 0.333 0.250
O 0.001 0.360 0.648
O 0.001 0.641 0.852
O 0.359 0.360 0.852
O 0.359 0.999 0.648
O 0.360 0.001 0.148
O 0.360 0.359 0.352
O 0.640 0.641 0.648
O 0.640 0.999 0.852
O 0.641 0.001 0.352
O 0.641 0.640 0.148
O 0.999 0.359 0.148
O 0.999 0.640 0.352

=====

Entry 2:
Material: PuTcRhO6
Method: DFT, PBE
State: optimized geometry

Calculated values
- Spin magnetization: 3.40 μB/f.u.
- Space-group type: No. 163
- Formation energy without anion corrections: -160.2 kJ/mol of atoms

Cell: 5.255 5.255 8.930 Å, 90.00 90.00 120.00°
Fractional coordinates of all 18 atoms:
Pu 0.333 0.667 0.250
Pu 0.667 0.333 0.750
Tc 0.333 0.667 0.750
Tc 0.667 0.333 0.250
Rh 0.000 0.000 0.000
Rh 0.000 0.000 0.500
O 0.023 0.346 0.625
O 0.023 0.677 0.875
O 0.323 0.346 0.875
O 0.323 0.977 0.625
O 0.346 0.023 0.125
O 0.346 0.323 0.375
O 0.654 0.677 0.625
O 0.654 0.977 0.875
O 0.677 0.023 0.375
O 0.677 0.654 0.125
O 0.977 0.323 0.125
O 0.977 0.654 0.375

=====

Entry 3:
Material: PuTiRhO6
Method: DFT, PBE
State: optimized geometry

Calculated values
- Spin magnetization: 3.00 μB/f.u.
- Space-group type: No. 163
- Formation energy without anion corrections: -205.1 kJ/mol of atoms

Cell: 5.316 5.316 8.621 Å, 90.00 90.00 120.00°
Fractional coordinates of all 18 atoms:
Pu 0.333 0.667 0.250
Pu 0.667 0.333 0.750
Ti 0.333 0.667 0.750
Ti 0.667 0.333 0.250
Rh 0.000 0.000 0.000
Rh 0.000 0.000 0.500
O 0.022 0.344 0.627
O 0.022 0.678 0.873
O 0.322 0.344 0.873
O 0.322 0.978 0.627
O 0.344 0.022 0.127
O 0.344 0.322 0.373
O 0.656 0.678 0.627
O 0.656 0.978 0.873
O 0.678 0.022 0.373
O 0.678 0.656 0.127
O 0.978 0.322 0.127
O 0.978 0.656 0.373

=====

Entry 4:
Material: Pu2TlRhO8
Method: DFT, PBE
State: optimized geometry

Calculated values
- Spin magnetization: 3.97 μB/f.u.
- Space-group type: No. 164
- Formation energy without anion corrections: -149.0 kJ/mol of atoms

Cell: 5.859 5.859 7.322 Å, 90.00 90.00 120.00°
Fractional coordinates of all 12 atoms:
Pu 0.333 0.667 0.214
Pu 0.667 0.333 0.786
Tl 0.000 0.000 0.000
Rh 0.000 0.000 0.500
O 0.158 0.316 0.341
O 0.158 0.842 0.341
O 0.316 0.158 0.659
O 0.333 0.667 0.953
O 0.667 0.333 0.047
O 0.684 0.842 0.341
O 0.842 0.158 0.659
O 0.842 0.684 0.659

=====

Entry 5:
Material: PuTl2RhO6
Method: DFT, PBE
State: optimized geometry

Calculated values
- Spin magnetization: 1.19 μB/f.u.
- Space-group type: No. 225
- Formation energy without anion corrections: -130.5 kJ/mol of atoms

Cell: 5.854 5.854 5.854 Å, 60.00 60.00 60.00°
Fractional coordinates of all 10 atoms:
Pu 0.000 0.000 0.000
Tl 0.250 0.250 0.250
Tl 0.750 0.750 0.750
Rh 0.500 0.500 0.500
O 0.253 0.253 0.747
O 0.253 0.747 0.253
O 0.253 0.747 0.747
O 0.747 0.253 0.253
O 0.747 0.253 0.747
O 0.747 0.747 0.253

=====

Entry 6:
Material: YPuRhO6
Method: DFT, PBE
State: optimized geometry

Calculated values
- Spin magnetization: 2.00 μB/f.u.
- Space-group type: No. 163
- Formation energy without anion corrections: -225.3 kJ/mol of atoms

Cell: 5.265 5.265 10.213 Å, 90.00 90.00 120.00°
Fractional coordinates of all 18 atoms:
Y 0.000 0.000 0.000
Y 0.000 0.000 0.500
Pu 0.333 0.667 0.250
Pu 0.667 0.333 0.750
Rh 0.333 0.667 0.750
Rh 0.667 0.333 0.250
O 0.008 0.351 0.637
O 0.008 0.658 0.863
O 0.342 0.351 0.863
O 0.342 0.992 0.637
O 0.351 0.008 0.137
O 0.351 0.342 0.363
O 0.649 0.658 0.637
O 0.649 0.992 0.863
O 0.658 0.008 0.363
O 0.658 0.649 0.137
O 0.992 0.342 0.137
O 0.992 0.649 0.363

=====

Entry 7:
Material: PuZrRhO6
Method: DFT, PBE
State: optimized geometry

Calculated values
- Spin magnetization: 3.00 μB/f.u.
- Space-group type: No. 163
- Formation energy without anion corrections: -208.5 kJ/mol of atoms

Cell: 5.505 5.505 8.635 Å, 90.00 90.00 120.00°
Fractional coordinates of all 18 atoms:
Pu 0.333 0.667 0.250
Pu 0.667 0.333 0.750
Zr 0.333 0.667 0.750
Zr 0.667 0.333 0.250
Rh 0.000 0.000 0.000
Rh 0.000 0.000 0.500
O 0.003 0.328 0.625
O 0.003 0.675 0.875
O 0.325 0.328 0.875
O 0.325 0.997 0.625
O 0.328 0.003 0.125
O 0.328 0.325 0.375
O 0.672 0.675 0.625
O 0.672 0.997 0.875
O 0.675 0.003 0.375
O 0.675 0.672 0.125
O 0.997 0.325 0.125
O 0.997 0.672 0.375

=====

Entry 8:
Material: Pu2RuO8
Method: DFT, PBE
State: optimized geometry

Calculated values
- Spin magnetization: 5.11 μB/f.u.
- Space-group type: No. 2
- Formation energy without anion corrections: -182.1 kJ/mol of atoms

Cell: 5.248 5.308 6.831 Å, 71.11 89.93 77.78°
Fractional coordinates of all 11 atoms:
Pu 0.001 0.495 0.255
Pu 0.999 0.505 0.745
Ru 0.500 0.500 0.000
O 0.075 0.716 0.443
O 0.125 0.714 0.949
O 0.364 0.300 0.834
O 0.366 0.292 0.265
O 0.634 0.708 0.735
O 0.636 0.700 0.166
O 0.875 0.286 0.051
O 0.925 0.284 0.557

=====

Entry 9:
Material: PuRuO6
Method: DFT, PBE
State: optimized geometry

Calculated values
- Spin magnetization: 1.97 μB/f.u.
- Space-group type: No. 12
- Formation energy without anion corrections: -145.9 kJ/mol of atoms

Cell: 5.447 5.447 5.107 Å, 97.09 97.09 124.08°
Fractional coordinates of all 8 atoms:
Pu 0.000 0.000 0.000
Ru 0.500 0.500 0.500
O 0.107 0.370 0.239
O 0.281 0.281 0.721
O 0.370 0.107 0.239
O 0.630 0.893 0.761
O 0.719 0.719 0.279
O 0.893 0.630 0.761

=====

Entry 10:
Material: PuRuO5
Method: DFT, PBE
State: optimized geometry

Calculated values
- Spin magnetization: 0.94 μB/f.u.
- Space-group type: No. 15
- Formation energy without anion corrections: -172.7 kJ/mol of atoms

Cell: 5.399 5.399 7.392 Å, 109.78 109.78 73.66°
Fractional coordinates of all 14 atoms:
Pu 0.033 0.967 0.750
Pu 0.967 0.033 0.250
Ru 0.500 0.500 0.000
Ru 0.500 0.500 0.500
O 0.190 0.790 0.035
O 0.210 0.810 0.465
O 0.213 0.276 0.368
O 0.276 0.213 0.868
O 0.423 0.577 0.750
O 0.577 0.423 0.250
O 0.724 0.787 0.132
O 0.787 0.724 0.632
O 0.790 0.190 0.535
O 0.810 0.210 0.965

=====

Entry 11:
Material: Pu2RuO
Method: DFT, PBE
State: optimized geometry

Calculated values
- Spin magnetization: 10.32 μB/f.u.
- Space-group type: No. 123
- Formation energy without anion corrections: -92.7 kJ/mol of atoms

Cell: 3.152 3.152 6.887 Å, 90.00 90.00 90.00°
Fractional coordinates of all 4 atoms:
Pu 0.000 0.000 0.226
Pu 0.000 0.000 0.774
Ru 0.500 0.500 0.500
O 0.500 0.500 0.000

=====

Entry 12:
Material: Sr2PuRuO6
Method: DFT, PBE
State: optimized geometry

Calculated values
- Spin magnetization: 1.99 μB/f.u.
- Space-group type: No. 14
- Formation energy without anion corrections: -234.2 kJ/mol of atoms

Cell: 5.815 5.845 10.050 Å, 90.00 125.07 90.00°
Fractional coordinates of all 20 atoms:
Sr 0.242 0.033 0.249
Sr 0.242 0.467 0.749
Sr 0.758 0.533 0.251
Sr 0.758 0.967 0.751
Pu 0.500 0.000 0.000
Pu 0.500 0.500 0.500
Ru 0.000 0.000 0.500
Ru 0.000 0.500 0.000
O 0.171 0.223 0.963
O 0.171 0.277 0.463
O 0.239 0.709 0.962
O 0.239 0.791 0.462
O 0.314 0.015 0.743
O 0.314 0.485 0.243
O 0.686 0.515 0.757
O 0.686 0.985 0.257
O 0.761 0.209 0.538
O 0.761 0.291 0.038
O 0.829 0.723 0.537
O 0.829 0.777 0.037

=====

Entry 13:
Material: PuTiRuO6
Method: DFT, PBE
State: optimized geometry

Calculated values
- Spin magnetization: 1.98 μB/f.u.
- Space-group type: No. 163
- Formation energy without anion corrections: -208.3 kJ/mol of atoms

Cell: 5.311 5.311 8.623 Å, 90.00 90.00 120.00°
Fractional coordinates of all 18 atoms:
Pu 0.333 0.667 0.250
Pu 0.667 0.333 0.750
Ti 0.333 0.667 0.750
Ti 0.667 0.333 0.250
Ru 0.000 0.000 0.000
Ru 0.000 0.000 0.500
O 0.025 0.340 0.627
O 0.025 0.684 0.873
O 0.316 0.340 0.873
O 0.316 0.975 0.627
O 0.340 0.025 0.127
O 0.340 0.316 0.373
O 0.660 0.684 0.627
O 0.660 0.975 0.873
O 0.684 0.025 0.373
O 0.684 0.660 0.127
O 0.975 0.316 0.127
O 0.975 0.660 0.373

=====

Entry 14:
Material: Pu3Tl2RuO12
Method: DFT, PBE
State: optimized geometry

Calculated values
- Spin magnetization: 3.95 μB/f.u.
- Space-group type: No. 166
- Formation energy without anion corrections: -187.6 kJ/mol of atoms

Cell: 7.528 7.528 7.528 Å, 62.84 62.84 62.84°
Fractional coordinates of all 18 atoms:
Pu 0.000 0.500 0.500
Pu 0.500 0.000 0.500
Pu 0.500 0.500 0.000
Tl 0.160 0.160 0.160
Tl 0.840 0.840 0.840
Ru 0.500 0.500 0.500
O 0.180 0.180 0.550
O 0.180 0.550 0.180
O 0.198 0.559 0.559
O 0.441 0.441 0.802
O 0.441 0.802 0.441
O 0.450 0.820 0.820
O 0.550 0.180 0.180
O 0.559 0.198 0.559
O 0.559 0.559 0.198
O 0.802 0.441 0.441
O 0.820 0.450 0.820
O 0.820 0.820 0.450

=====

Entry 15:
Material: PuTlRuO6
Method: DFT, PBE
State: optimized geometry

Calculated values
- Spin magnetization: 1.24 μB/f.u.
- Space-group type: No. 74
- Formation energy without anion corrections: -152.8 kJ/mol of atoms

Cell: 7.490 7.490 7.490 Å, 122.52 117.24 90.27°
Fractional coordinates of all 18 atoms:
Pu 0.000 0.000 0.000
Pu 0.500 0.000 0.500
Tl 0.391 0.641 0.750
Tl 0.609 0.359 0.250
Ru 0.000 0.000 0.500
Ru 0.000 0.500 0.000
O 0.042 0.292 0.750
O 0.055 0.323 0.134
O 0.055 0.921 0.731
O 0.311 0.079 0.634
O 0.311 0.677 0.231
O 0.330 0.080 0.250
O 0.670 0.920 0.750
O 0.689 0.323 0.769
O 0.689 0.921 0.366
O 0.945 0.079 0.269
O 0.945 0.677 0.866
O 0.958 0.708 0.250

=====

Entry 16:
Material: PuTl2RuO6
Method: DFT, PBE
State: optimized geometry

Calculated values
- Spin magnetization: 4.01 μB/f.u.
- Space-group type: No. 12
- Formation energy without anion corrections: -137.4 kJ/mol of atoms

Cell: 6.740 6.740 5.176 Å, 105.35 105.35 51.62°
Fractional coordinates of all 10 atoms:
Pu 0.000 0.000 0.000
Tl 0.285 0.285 0.793
Tl 0.715 0.715 0.207
Ru 0.500 0.500 0.500
O 0.149 0.149 0.234
O 0.219 0.674 0.232
O 0.326 0.781 0.768
O 0.674 0.219 0.232
O 0.781 0.326 0.768
O 0.851 0.851 0.766

=====

Entry 17:
Material: PuZnRuO6
Method: DFT, PBE
State: optimized geometry

Calculated values
- Spin magnetization: 2.91 μB/f.u.
- Space-group type: No. 163
- Formation energy without anion corrections: -154.5 kJ/mol of atoms

Cell: 5.221 5.221 8.967 Å, 90.00 90.00 120.00°
Fractional coordinates of all 18 atoms:
Pu 0.333 0.667 0.250
Pu 0.667 0.333 0.750
Zn 0.333 0.667 0.750
Zn 0.667 0.333 0.250
Ru 0.000 0.000 0.000
Ru 0.000 0.000 0.500
O 0.006 0.321 0.124
O 0.006 0.684 0.376
O 0.316 0.321 0.376
O 0.316 0.994 0.124
O 0.321 0.006 0.624
O 0.321 0.316 0.876
O 0.679 0.684 0.124
O 0.679 0.994 0.376
O 0.684 0.006 0.876
O 0.684 0.679 0.624
O 0.994 0.316 0.624
O 0.994 0.679 0.876

=====

Entry 18:
Material: PuS2O8
Method: DFT, PBE
State: optimized geometry

Calculated values
- Spin magnetization: 4.00 μB/f.u.
- Space-group type: No. 12
- Formation energy without anion corrections: -163.3 kJ/mol of atoms

Cell: 6.027 6.027 5.308 Å, 102.46 102.46 62.57°
Fractional coordinates of all 11 atoms:
Pu 0.000 0.000 0.000
S 0.197 0.197 0.680
S 0.803 0.803 0.320
O 0.057 0.682 0.219
O 0.152 0.152 0.386
O 0.318 0.943 0.781
O 0.340 0.340 0.765
O 0.660 0.660 0.235
O 0.682 0.057 0.219
O 0.848 0.848 0.614
O 0.943 0.318 0.781

=====

Entry 19:
Material: Pu2SO
Method: DFT, PBE
State: optimized geometry

Calculated values
- Polymorph energy (0 for the lowest one): 0.146 eV/atom
- Spin magnetization: 0.45 μB/f.u.
- Space-group type: No. 160
- Formation energy without anion corrections: -177.8 kJ/mol of atoms

Cell: 6.986 6.986 6.986 Å, 29.78 29.78 29.78°
Fractional coordinates of all 4 atoms:
Pu 0.000 0.000 0.000
Pu 0.156 0.156 0.156
S 0.578 0.578 0.578
O 0.400 0.400 0.400